Arrangement 1

Here is a PBEsol-optimized structure of ScAu2Br from the Alexandria database. Energies are from SCAN.

POSCAR file:
```
ScAu2Br
1.0
-1.2537 -4.2974 -1.6562
-1.9331 -3.2215 2.9441
-4.6153 -1.1448 -0.4138
Au Br Sc
2 1 1
direct
0.0000 0.0000 0.0000 Au
0.7500 0.7500 0.7500 Au
0.5000 0.5000 0.5000 Br
0.2500 0.2500 0.2500 Sc
```

Calculated values
Magnetization: 0.000 μB per formula unit
Crystal system: cubic


Arrangement 2

Here is a PBEsol-optimized structure of ScAu2Br from the Alexandria database. Energies are from SCAN.

POSCAR file:
```
ScAu2Br
1.0
-0.4678 3.0131 3.7432
-3.6837 -0.5257 3.0763
0.8105 -1.5825 4.4887
Au Br Sc
2 1 1
direct
0.7500 0.7500 0.7500 Au
0.2500 0.2500 0.2500 Au
0.0000 0.0000 0.0000 Br
0.5000 0.5000 0.5000 Sc
```

Calculated values
Magnetization: 0.000 μB per formula unit
Crystal system: cubic


Which of them is most stable? Easy: arrangement 1.


Arrangement 1

Here is a PBEsol-optimized structure of ScAu2Br from the Alexandria database. Energies are from SCAN.

POSCAR file:
```
ScAu2Br
1.0
-0.1379 -1.8864 3.4721
-2.0848 -2.6981 -1.5486
4.3819 -2.6572 -1.2696
Au Br Sc
2 1 1
direct
0.0000 0.0000 0.0000 Au
0.5000 0.5000 0.0000 Au
0.5000 0.0000 0.5000 Br
0.0000 0.5000 0.5000 Sc
```

Calculated values
Magnetization: 0.000 μB per formula unit
Crystal system: orthorhombic


Arrangement 2

Here is a PBEsol-optimized structure of ScAu2Br from the Alexandria database. Energies are from SCAN.

POSCAR file:
```
ScAu2Br
1.0
-3.4749 -0.8231 0.4850
-1.6469 -2.2699 -2.2633
0.3307 -6.9881 3.8986
Au Br Sc
2 1 1
direct
0.2569 0.2569 0.2293 Au
0.7431 0.7431 0.7707 Au
0.5000 0.5000 0.5000 Br
0.0000 0.0000 0.0000 Sc
```

Calculated values
Magnetization: 0.000 μB per formula unit
Crystal system: trigonal


Which of them is most stable? Easy: arrangement 2.


Arrangement 1

Here is a PBEsol-optimized structure of SiAu2Br from the Alexandria database. Energies are from SCAN.

POSCAR file:
```
SiAu2Br
1.0
3.8859 0.0000 0.0000
0.0000 3.8859 0.0000
0.0000 0.0000 5.1478
Au Br Si
2 1 1
direct
0.0000 0.5000 0.0000 Au
0.5000 0.0000 0.0000 Au
0.5000 0.5000 0.5000 Br
0.0000 0.0000 0.5000 Si
```

Calculated values
Magnetization: 0.000 μB per formula unit
Crystal system: tetragonal


Arrangement 2

Here is a PBEsol-optimized structure of SiAu2Br from the Alexandria database. Energies are from SCAN.

POSCAR file:
```
SiAu2Br
1.0
2.7526 0.0000 0.0000
0.0000 3.4446 0.0000
0.0000 0.0000 8.1421
Au Br Si
2 1 1
direct
0.0000 0.0000 0.6914 Au
0.0000 0.0000 0.3086 Au
0.5000 0.5000 0.0000 Br
0.5000 0.5000 0.5000 Si
```

Calculated values
Magnetization: 0.000 μB per formula unit
Crystal system: orthorhombic


Which of them is most stable? Easy: arrangement 2.


Arrangement 1

Here is a PBEsol-optimized structure of Te3AuBr from the Alexandria database. Energies are from SCAN.

POSCAR file:
```
Te3AuBr
1.0
5.4198 0.0000 0.0000
0.0000 5.4198 0.0000
0.0000 0.0000 5.4198
Te Au Br
3 1 1
direct
0.0000 0.5000 0.0000 Te
0.0000 0.0000 0.5000 Te
0.5000 0.0000 0.0000 Te
0.5000 0.5000 0.5000 Au
0.0000 0.0000 0.0000 Br
```

Calculated values
Magnetization: 0.000 μB per formula unit
Crystal system: cubic


Arrangement 2

Here is a PBEsol-optimized structure of Te3AuBr from the Alexandria database. Energies are from SCAN.

POSCAR file:
```
Te3AuBr
1.0
-3.2544 0.7944 4.1976
-0.6603 -5.3070 0.4924
4.2208 -0.2177 3.3136
Te Au Br
3 1 1
direct
0.0000 0.5000 0.0000 Te
0.0000 0.0000 0.5000 Te
0.5000 0.0000 0.0000 Te
0.0000 0.0000 0.0000 Au
0.5000 0.5000 0.5000 Br
```

Calculated values
Magnetization: 0.002 μB per formula unit
Crystal system: cubic


Which of them is most stable? Easy: arrangement 2.


Arrangement 1

Here is a PBEsol-optimized structure of Tl2AuBr from the Alexandria database. Energies are from SCAN.

POSCAR file:
```
Tl2AuBr
1.0
3.8278 0.0000 0.0000
0.0000 4.8771 0.0000
-1.9139 0.0000 5.8154
Tl Au Br
2 1 1
direct
0.0040 0.0000 0.0079 Tl
0.2491 0.5000 0.4983 Tl
0.5026 0.5000 0.0052 Au
0.7443 0.0000 0.4886 Br
```

Calculated values
Magnetization: 0.000 μB per formula unit
Crystal system: orthorhombic


Arrangement 2

Here is a PBEsol-optimized structure of Tl2AuBr from the Alexandria database. Energies are from SCAN.

POSCAR file:
```
Tl2AuBr
1.0
-0.3259 -4.2897 -0.0689
0.2958 2.0746 3.7781
-7.1387 0.5777 -2.2047
Tl Au Br
2 1 1
direct
0.7618 0.5235 0.7854 Tl
0.2382 0.4765 0.2146 Tl
0.5000 0.0000 0.0000 Au
0.0000 0.0000 0.5000 Br
```

Calculated values
Magnetization: 0.000 μB per formula unit
Crystal system: monoclinic


Arrangement 3

Here is a PBEsol-optimized structure of Tl2AuBr from the Alexandria database. Energies are from SCAN.

POSCAR file:
```
Tl2AuBr
1.0
-1.9413 -4.8676 0.6443
2.7673 -4.1865 -1.6564
2.1937 -3.2722 3.5225
Tl Au Br
2 1 1
direct
0.2495 0.7505 0.7505 Tl
0.7505 0.2495 0.2495 Tl
0.5000 0.0000 0.0000 Au
0.0000 0.5000 0.5000 Br
```

Calculated values
Magnetization: 0.000 μB per formula unit
Crystal system: orthorhombic


Which of them is most stable? Easy: arrangement 2.


Arrangement 1

Here is a PBEsol-optimized structure of TlAu2Br from the Alexandria database. Energies are from SCAN.

POSCAR file:
```
TlAu2Br
1.0
4.0211 0.0000 0.0000
0.0000 4.0211 0.0000
-2.0106 -2.0106 5.7244
Tl Au Br
1 2 1
direct
0.0000 0.0000 0.0000 Tl
0.7500 0.2500 0.5000 Au
0.2500 0.7500 0.5000 Au
0.5000 0.5000 0.0000 Br
```

Calculated values
Magnetization: 0.000 μB per formula unit
Crystal system: tetragonal


Arrangement 2

Here is a PBEsol-optimized structure of TlAu2Br from the Alexandria database. Energies are from SCAN.

POSCAR file:
```
TlAu2Br
1.0
3.7772 -0.0051 0.0000
-0.0273 4.5118 0.0000
0.0000 0.0000 5.2979
Tl Au Br
1 2 1
direct
0.5000 0.0000 0.5000 Tl
0.2616 0.2415 0.0000 Au
0.7384 0.7585 0.0000 Au
0.0000 0.5000 0.5000 Br
```

Calculated values
Magnetization: 0.000 μB per formula unit
Crystal system: monoclinic


Arrangement 3

Here is a PBEsol-optimized structure of TlAu2Br from the Alexandria database. Energies are from SCAN.

POSCAR file:
```
TlAu2Br
1.0
3.9433 0.0000 0.0000
1.9716 3.4169 0.0461
1.9716 1.0477 7.1718
Tl Au Br
1 2 1
direct
0.7373 0.7376 0.7878 Tl
0.9917 0.9916 0.0250 Au
0.2565 0.2563 0.2308 Au
0.5145 0.5145 0.4565 Br
```

Calculated values
Magnetization: 0.000 μB per formula unit
Crystal system: trigonal


Which of them is most stable? Easy: arrangement 3.


Arrangement 1

Here is a PBEsol-optimized structure of WAu2Br from the Alexandria database. Energies are from SCAN.

POSCAR file:
```
WAu2Br
1.0
2.8427 0.0000 0.0208
0.0000 3.0389 0.0000
-0.0606 0.0000 8.6013
Au Br W
2 1 1
direct
0.4997 0.0000 0.2170 Au
0.5003 0.0000 0.7830 Au
0.5000 0.5000 0.5000 Br
0.0000 0.5000 0.0000 W
```

Calculated values
Magnetization: 0.000 μB per formula unit
Crystal system: orthorhombic


Arrangement 2

Here is a PBEsol-optimized structure of WAu2Br from the Alexandria database. Energies are from SCAN.

POSCAR file:
```
WAu2Br
1.0
-2.1272 0.5337 1.5369
-3.1219 -2.3728 -3.4970
0.6649 -4.5694 2.5069
Au Br W
2 1 1
direct
0.0000 0.0000 0.5000 Au
0.0000 0.5000 0.0000 Au
0.5000 0.5000 0.5000 Br
0.5000 0.0000 0.0000 W
```

Calculated values
Magnetization: 0.000 μB per formula unit
Crystal system: tetragonal


Which of them is most stable? Easy: arrangement 1.


Arrangement 1

Here is a PBEsol-optimized structure of YAuBr from the Alexandria database. Energies are from SCAN.

POSCAR file:
```
YAuBr
1.0
3.5714 0.0000 0.0000
0.0000 4.7889 0.0000
0.0000 -2.3944 4.1473
Y Au Br
1 1 1
direct
0.4984 0.6667 0.3333 Y
0.0000 0.0000 0.0000 Au
0.5016 0.3333 0.6667 Br
```

Calculated values
Magnetization: 0.000 μB per formula unit
Crystal system: trigonal


Arrangement 2

Here is a PBEsol-optimized structure of YAuBr from the Alexandria database. Energies are from SCAN.

POSCAR file:
```
YAuBr
1.0
-0.6170 2.1729 2.6295
0.5369 -2.5770 2.2555
5.9437 1.6193 -2.2284
Y Au Br
1 1 1
direct
0.6641 0.6641 0.3282 Y
0.0282 0.0282 0.0564 Au
0.3077 0.3077 0.6154 Br
```

Calculated values
Magnetization: 0.001 μB per formula unit
Crystal system: tetragonal


Which of them is most stable? Easy: arrangement 2.